1.
The following is a PBE calculation of an optimized crystal structure of MgInCoTc, from the Open Quantum Materials Database.

The structure in extended XYZ format:
```
4
Lattice="0.000 3.156 3.156 3.156 0.000 3.156 3.156 3.156 0.000" Properties=species:S:1:pos:R:3 pbc="T T T"
Co 4.733 4.733 4.733
In 0.000 0.000 0.000
Mg 1.578 1.578 1.578
Tc 3.156 3.156 3.156
```

Output
VASP energy: -0.381 Ry per atom
Energy above the most stable polymorph in this dataset: 0 kJ/mol of formula units
Magnetization: 2.96 μB per formula unit
Density: 7.822 g/cm³

=====

2.
The following is a PBE calculation of an optimized crystal structure of MgSnIr2, from the Open Quantum Materials Database.

The structure in extended XYZ format:
```
16
Lattice="-2.284 -5.096 -2.470 2.527 1.466 -5.361 5.770 -3.447 1.777" Properties=species:S:1:pos:R:3 pbc="T T T"
Ir 1.442 -0.862 0.444
Ir 2.706 -0.129 -2.236
Ir 0.301 -3.410 -0.791
Ir 1.564 -2.677 -3.471
Ir 3.186 -5.133 0.098
Ir 4.449 -4.400 -2.583
Ir 4.328 -2.585 1.333
Ir 5.591 -1.852 -1.348
Mg -1.081 -3.455 -3.193
Mg 1.325 -0.174 -4.638
Mg 1.804 -5.179 -2.304
Mg 4.210 -1.898 -3.750
Sn 0.061 -0.907 -1.958
Sn 0.183 -2.722 -5.873
Sn 3.068 -4.446 -4.985
Sn 2.946 -2.631 -1.069
```

Output
VASP energy: -0.452 Ry per atom
Energy above the most stable polymorph in this dataset: 1 kJ/mol of formula units
Magnetization: 0.00 μB per formula unit
Density: 13.517 g/cm³

=====

3.
The following is a PBE calculation of an optimized crystal structure of HoTlSb, from the Open Quantum Materials Database.

The structure in extended XYZ format:
```
3
Lattice="0.000 3.629 3.629 3.629 0.000 3.629 3.629 3.629 0.000" Properties=species:S:1:pos:R:3 pbc="T T T"
Ho 1.814 1.814 1.814
Sb 5.443 5.443 5.443
Tl 0.000 0.000 0.000
```

Output
VASP energy: -0.273 Ry per atom
Magnetization: 0.00 μB per formula unit
Density: 8.532 g/cm³

=====

4.
The following is a PBE calculation of an optimized crystal structure of BeCoBiPt, from the Open Quantum Materials Database.

The structure in extended XYZ format:
```
4
Lattice="0.000 3.151 3.151 3.151 0.000 3.151 3.151 3.151 0.000" Properties=species:S:1:pos:R:3 pbc="T T T"
Be 3.151 3.151 3.151
Bi 0.000 0.000 0.000
Co 4.726 4.726 4.726
Pt 1.575 1.575 1.575
```

Output
VASP energy: -0.364 Ry per atom
Energy above the most stable polymorph in this dataset: 0 kJ/mol of formula units
Magnetization: 1.25 μB per formula unit
Density: 12.529 g/cm³

=====

5.
The following is a PBE calculation of an optimized crystal structure of GaFeIrPt, from the Open Quantum Materials Database.

The structure in extended XYZ format:
```
4
Lattice="0.000 3.068 3.068 3.068 0.000 3.068 3.068 3.068 0.000" Properties=species:S:1:pos:R:3 pbc="T T T"
Fe 4.601 4.601 4.601
Ga 0.000 0.000 0.000
Ir 1.534 1.534 1.534
Pt 3.068 3.068 3.068
```

Output
VASP energy: -0.488 Ry per atom
Energy above the most stable polymorph in this dataset: 0 kJ/mol of formula units
Magnetization: 2.79 μB per formula unit
Density: 14.751 g/cm³

=====

6.
The following is a PBE calculation of an optimized crystal structure of CsTbSO, from the Open Quantum Materials Database.

The structure in extended XYZ format:
```
16
Lattice="-5.587 -6.479 1.999 6.783 -6.431 -1.883 1.681 0.204 5.358" Properties=species:S:1:pos:R:3 pbc="T T T"
Cs -1.354 -3.148 0.906
Cs 1.240 -11.495 0.410
Cs 1.003 -1.288 3.043
Cs 3.596 -9.635 2.547
O 1.202 -1.325 0.041
O 2.714 -8.647 -0.155
O -0.468 -4.135 3.619
O 1.044 -11.457 3.423
S -0.587 -6.495 0.806
S 3.577 -4.555 -0.574
S -1.328 -8.227 4.050
S 2.836 -6.286 2.670
Tb -2.557 -8.345 1.489
Tb 2.018 -6.794 -0.005
Tb 0.229 -5.988 3.472
Tb 4.803 -4.437 1.978
```

Output
VASP energy: -0.419 Ry per atom
Energy above the most stable polymorph in this dataset: 66 kJ/mol of formula units
Magnetization: 0.00 μB per formula unit
Density: 4.796 g/cm³